# 1
# ReSb2AuI

A geometry-optimized ReSb2AuI structure (PBE, the Alexandria database).

Unit cell a=5.082 b=5.082 c=5.752 alpha=90.00 beta=90.00 gamma=90.00
Fractional positions:
Re 0.000 0.000 0.000
Sb 0.000 0.500 0.000
Sb 0.500 0.000 0.000
Au 0.500 0.500 0.500
I 0.000 0.000 0.500

## Properties
* space-group type: P4/mmm (123)
* crystal system: tetragonal
* raw formation energy: 0.81 eV per atom
* excess energy over the best structure of this formula in the dataset: 0 meV/atom

=====

# 2
# ReSbAuI2

A geometry-optimized ReSbAuI2 structure (PBE, the Alexandria database).

Unit cell a=5.466 b=5.466 c=5.157 alpha=90.00 beta=90.00 gamma=90.00
Fractional positions:
Re 0.000 0.000 0.000
Sb 0.000 0.000 0.500
Au 0.500 0.500 0.500
I 0.000 0.500 0.000
I 0.500 0.000 0.000

## Properties
* space-group type: P4/mmm (123)
* crystal system: tetragonal
* raw formation energy: 0.95 eV per atom
* excess energy over the best structure of this formula in the dataset: 0 meV/atom

=====

# 3
# ReSbAuI2

A geometry-optimized ReSbAuI2 structure (PBE, the Alexandria database).

Unit cell a=5.552 b=5.552 c=5.598 alpha=90.00 beta=90.00 gamma=90.00
Fractional positions:
Re 0.000 0.000 0.000
Sb 0.500 0.500 0.000
Au 0.500 0.500 0.500
I 0.000 0.500 0.500
I 0.500 0.000 0.500

## Properties
* space-group type: P4/mmm (123)
* crystal system: tetragonal
* raw formation energy: 1.49 eV per atom
* excess energy over the best structure of this formula in the dataset: 538 meV/atom

=====

# 4
# ReSb2AuI

A geometry-optimized ReSb2AuI structure (PBE, the Alexandria database).

Unit cell a=5.399 b=5.399 c=5.478 alpha=90.00 beta=90.00 gamma=90.00
Fractional positions:
Re 0.000 0.000 0.000
Sb 0.000 0.500 0.500
Sb 0.500 0.000 0.500
Au 0.500 0.500 0.500
I 0.500 0.500 0.000

## Properties
* space-group type: P4/mmm (123)
* crystal system: tetragonal
* raw formation energy: 1.59 eV per atom
* excess energy over the best structure of this formula in the dataset: 784 meV/atom

=====

# 5
# ReTeAuI2

A geometry-optimized ReTeAuI2 structure (PBE, the Alexandria database).

Unit cell a=5.519 b=5.519 c=5.461 alpha=90.00 beta=90.00 gamma=90.00
Fractional positions:
Re 0.000 0.000 0.000
Te 0.500 0.500 0.000
Au 0.000 0.000 0.500
I 0.000 0.500 0.500
I 0.500 0.000 0.500

## Properties
* space-group type: P4/mmm (123)
* crystal system: tetragonal
* raw formation energy: 1.42 eV per atom
* excess energy over the best structure of this formula in the dataset: 532 meV/atom

=====

# 6
# ReTeAuI2

A geometry-optimized ReTeAuI2 structure (PBE, the Alexandria database).

Unit cell a=5.501 b=5.501 c=5.713 alpha=90.00 beta=90.00 gamma=90.00
Fractional positions:
Re 0.000 0.000 0.000
Te 0.500 0.500 0.000
Au 0.500 0.500 0.500
I 0.000 0.500 0.500
I 0.500 0.000 0.500

## Properties
* space-group type: P4/mmm (123)
* crystal system: tetragonal
* raw formation energy: 1.40 eV per atom
* excess energy over the best structure of this formula in the dataset: 509 meV/atom

=====

# 7
# ReTeAuI2

A geometry-optimized ReTeAuI2 structure (PBE, the Alexandria database).

Unit cell a=5.577 b=5.577 c=5.059 alpha=90.00 beta=90.00 gamma=90.00
Fractional positions:
Re 0.000 0.000 0.000
Te 0.000 0.000 0.500
Au 0.500 0.500 0.500
I 0.000 0.500 0.000
I 0.500 0.000 0.000

## Properties
* space-group type: P4/mmm (123)
* crystal system: tetragonal
* raw formation energy: 0.89 eV per atom
* excess energy over the best structure of this formula in the dataset: 0 meV/atom

=====

# 8
# ZnRe2AuI

A geometry-optimized ZnRe2AuI structure (PBE, the Alexandria database).

Unit cell a=4.893 b=4.893 c=5.181 alpha=90.00 beta=90.00 gamma=90.00
Fractional positions:
Zn 0.000 0.000 0.000
Re 0.000 0.500 0.500
Re 0.500 0.000 0.500
Au 0.500 0.500 0.000
I 0.500 0.500 0.500

## Properties
* space-group type: P4/mmm (123)
* crystal system: tetragonal
* raw formation energy: 2.48 eV per atom

=====

# 9
# ZnReAuI2

A geometry-optimized ZnReAuI2 structure (PBE, the Alexandria database).

Unit cell a=5.874 b=5.874 c=4.920 alpha=90.00 beta=90.00 gamma=90.00
Fractional positions:
Zn 0.000 0.000 0.000
Re 0.500 0.500 0.000
Au 0.000 0.000 0.500
I 0.000 0.500 0.500
I 0.500 0.000 0.500

## Properties
* space-group type: P4/mmm (123)
* crystal system: tetragonal
* raw formation energy: 1.33 eV per atom

=====

# 10
# RhAuI3

A geometry-optimized RhAuI3 structure (PBE, the Alexandria database).

Unit cell a=5.391 b=5.391 c=5.391 alpha=90.00 beta=90.00 gamma=90.00
Fractional positions:
Rh 0.000 0.000 0.000
Au 0.500 0.500 0.500
I 0.000 0.000 0.500
I 0.000 0.500 0.000
I 0.500 0.000 0.000

## Properties
* space-group type: Pm-3m (221)
* crystal system: cubic
* raw formation energy: 0.45 eV per atom
* excess energy over the best structure of this formula in the dataset: 0 meV/atom

=====

# 11
# Rh2AuI2

A geometry-optimized Rh2AuI2 structure (PBE, the Alexandria database).

Unit cell a=5.533 b=5.533 c=5.533 alpha=123.23 beta=123.23 gamma=84.48
Fractional positions:
Rh 0.166 0.166 0.000
Rh 0.834 0.834 0.000
Au 0.500 0.500 0.000
I 0.250 0.750 0.500
I 0.750 0.250 0.500

## Properties
* space-group type: I4/mmm (139)
* crystal system: tetragonal
* raw formation energy: 0.45 eV per atom
* excess energy over the best structure of this formula in the dataset: 15 meV/atom

=====

# 12
# Rh2AuI2

A geometry-optimized Rh2AuI2 structure (PBE, the Alexandria database).

Unit cell a=7.891 b=7.891 c=3.414 alpha=90.00 beta=90.00 gamma=90.00
Fractional positions:
Rh 0.168 0.332 0.000
Rh 0.332 0.832 0.000
Rh 0.668 0.168 0.000
Rh 0.832 0.668 0.000
Au 0.000 0.000 0.500
Au 0.500 0.500 0.500
I 0.150 0.650 0.500
I 0.350 0.150 0.500
I 0.650 0.850 0.500
I 0.850 0.350 0.500

## Properties
* space-group type: P4/mbm (127)
* crystal system: tetragonal
* raw formation energy: 0.70 eV per atom
* excess energy over the best structure of this formula in the dataset: 261 meV/atom

=====

# 13
# RhAuI2

A geometry-optimized RhAuI2 structure (PBE, the Alexandria database).

Unit cell a=5.126 b=5.126 c=5.126 alpha=60.00 beta=60.00 gamma=60.00
Fractional positions:
Rh 0.000 0.000 0.000
Au 0.500 0.500 0.500
I 0.250 0.250 0.250
I 0.750 0.750 0.750

## Properties
* space-group type: Fm-3m (225)
* crystal system: cubic
* raw formation energy: 0.72 eV per atom
* excess energy over the best structure of this formula in the dataset: 436 meV/atom

=====

# 14
# Rh2AuI2

A geometry-optimized Rh2AuI2 structure (PBE, the Alexandria database).

Unit cell a=8.056 b=8.056 c=8.056 alpha=151.71 beta=151.71 gamma=40.44
Fractional positions:
Rh 0.250 0.750 0.500
Rh 0.750 0.250 0.500
Au 0.000 0.000 0.000
I 0.370 0.370 0.000
I 0.630 0.630 0.000

## Properties
* space-group type: I4/mmm (139)
* crystal system: tetragonal
* raw formation energy: 0.48 eV per atom
* excess energy over the best structure of this formula in the dataset: 48 meV/atom